## BaVMoO6 (PBE with a Hubbard U)

Data for a relaxed structure of BaVMoO6.

As for the crystal system: monoclinic. As for the space group: C2. The total magnetization comes out at 0.111 μB per atom. For the calculated total energy, the calculation gives -7.2552 eV per atom.

Structure (POSCAR):
```
BaVMoO6
1.0
-2.1760 -2.7964 3.9409
-3.4106 -3.9421 -0.9536
4.4121 -3.6976 -0.0883
O Ba Mo V
6 1 1 1
Direct
0.5994 0.0061 0.3032
0.0061 0.5995 0.6968
0.9965 0.4019 0.3085
0.4019 0.9966 0.6915
0.6073 0.3890 0.6894
0.3890 0.6073 0.3106
0.0013 0.0013 0.0000
0.3363 0.3363 0.5001
0.6620 0.6619 0.4999
```

## MnHPdNO (PBE with a Hubbard U)

Data for a relaxed structure of MnHPdNO.

As for the crystal system: monoclinic. As for the space group: Cm. The total magnetization comes out at 0.714 μB per atom. For the calculated total energy, the calculation gives -6.1106 eV per atom. The calculation puts the energy above the most stable polymorph in this dataset at 106.3 meV/atom.

Structure (POSCAR):
```
MnHPdNO
1.0
-1.2093 -1.3520 2.6554
-1.0348 -2.9107 -1.9512
5.6817 -1.0641 0.0980
O H Mn N Pd
1 1 1 1 1
Direct
0.7395 0.6393 0.2735
0.0730 0.4028 0.9406
0.6947 0.1219 0.1840
0.0869 0.1280 0.9682
0.9196 0.8474 0.6338
```